Record 1
# PBE Sr3Sm3MgTe8, optimized geometry
# - ΔE_f (raw): -21.62 eV/f.u.
# - Fermi-level density of states: 0.28 states/eV/atom
# - V: 35.8 Å³/atom
data_Sr3Sm3MgTe8
_cell_length_a 9.0038
_cell_length_b 9.0038
_cell_length_c 22.9560
_cell_angle_alpha 90.00
_cell_angle_beta 90.00
_cell_angle_gamma 120.00
_symmetry_space_group_name_H-M 'R -3 m'
_symmetry_Int_Tables_number 166
_symmetry_space_group_name_Hall '-R 3 2"'
loop_
_atom_site_label
_atom_site_fract_x
_atom_site_fract_y
_atom_site_fract_z
Sr1 0.0000 0.5000 0.0000
Sm1 0.0000 0.5000 0.5000
Mg1 0.0000 0.0000 0.5000
Te1 0.0000 0.0000 0.2454
Te2 0.0078 0.5039 0.2422

---

Record 2
# PBE SrSmMgTl, optimized geometry
# - Calculated formation energy: -0.21 eV per atom
# - Fermi-level density of states: 0.63 states/eV/atom
# - V: 31.4 Å³/atom
data_SrSmMgTl
_cell_length_a 7.947
_cell_length_b 7.947
_cell_length_c 7.947
_cell_angle_alpha 90.00
_cell_angle_beta 90.00
_cell_angle_gamma 90.00
_symmetry_space_group_name_H-M 'F -4 3 m'
_symmetry_Int_Tables_number 216
_symmetry_space_group_name_Hall 'F -4 2 3'
loop_
_atom_site_label
_atom_site_fract_x
_atom_site_fract_y
_atom_site_fract_z
Sr1 0.000 0.000 0.000
Sm1 0.000 0.000 0.500
Mg1 0.250 0.250 0.250
Tl1 0.250 0.250 0.750

---

Record 3
# PBE SrSm2MgTl4, optimized geometry
# - Calculated formation energy: -0.29 eV per atom
# - Fermi-level density of states: 0.76 states/eV/atom
# - V: 29.3 Å³/atom
data_SrSm2MgTl4
_cell_length_a 5.3764
_cell_length_b 5.3764
_cell_length_c 28.1222
_cell_angle_alpha 90.00
_cell_angle_beta 90.00
_cell_angle_gamma 120.00
_symmetry_space_group_name_H-M 'R -3 m'
_symmetry_Int_Tables_number 166
_symmetry_space_group_name_Hall '-R 3 2"'
loop_
_atom_site_label
_atom_site_fract_x
_atom_site_fract_y
_atom_site_fract_z
Sr1 0.0000 0.0000 0.0000
Sm1 0.0000 0.0000 0.2396
Mg1 0.0000 0.0000 0.5000
Tl1 0.0000 0.0000 0.1247
Tl2 0.0000 0.0000 0.3815

---

Record 4
# PBE SrSmMg2Tl4, optimized geometry
# - Calculated formation energy: -0.26 eV per atom
# - Fermi-level density of states: 0.40 states/eV/atom
# - V: 27.7 Å³/atom
data_SrSmMg2Tl4
_cell_length_a 5.3420
_cell_length_b 5.3420
_cell_length_c 26.9453
_cell_angle_alpha 90.00
_cell_angle_beta 90.00
_cell_angle_gamma 120.00
_symmetry_space_group_name_H-M 'R -3 m'
_symmetry_Int_Tables_number 166
_symmetry_space_group_name_Hall '-R 3 2"'
loop_
_atom_site_label
_atom_site_fract_x
_atom_site_fract_y
_atom_site_fract_z
Sr1 0.0000 0.0000 0.0000
Sm1 0.0000 0.0000 0.5000
Mg1 0.0000 0.0000 0.2481
Tl1 0.0000 0.0000 0.1252
Tl2 0.0000 0.0000 0.3787

---

Q: Which value of Fermi-level density of states does entry 2 give?
A: 0.63 states/eV/atom

---

Q: Which value of Fermi-level density of states does entry 1 give?
A: 0.28 states/eV/atom